No. 1
Crystalline CaAg2Cl at its relaxed geometry, computed with PBE.

Computed properties:
For the uncorrected formation energy, the calculation gives -184 meV/atom.

a b c (Å): 8.7881 8.7881 8.7881
angles (deg): 23.98 23.98 23.98
Element x y z (fractional)
Ca1 0.0000 0.0000 0.0000
Ag1 0.2425 0.2425 0.2425
Ag2 0.7575 0.7575 0.7575
Cl1 0.5000 0.5000 0.5000


No. 2
Crystalline KBi2Ir at its relaxed geometry, computed with PBE.

Computed properties:
For the formation energy, the calculation gives 0.092 eV per atom.

a b c (Å): 6.9468 6.9468 6.9468
angles (deg): 103.57 103.57 122.06
Element x y z (fractional)
K1 0.0000 0.0000 0.0000
K2 0.7500 0.2500 0.5000
Bi1 0.2107 0.6250 0.0857
Bi2 0.3750 0.4607 0.5857
Bi3 0.5393 0.1250 0.9143
Bi4 0.8750 0.7893 0.4143
Ir1 0.2500 0.7500 0.5000
Ir2 0.5000 0.5000 0.0000


No. 3
Crystalline Ac6LaPm2Nd at its relaxed geometry, computed with PBE.

Computed properties:
For the formation energy, the calculation gives 0.197 eV per atom.

a b c (Å): 7.0865 7.0865 9.5121
angles (deg): 101.80 101.80 64.47
Element x y z (fractional)
Ac1 0.0933 0.5754 0.2015
Ac2 0.1348 0.1348 0.4165
Ac3 0.4246 0.9067 0.7985
Ac4 0.5754 0.0933 0.2015
Ac5 0.8652 0.8652 0.5835
Ac6 0.9067 0.4246 0.7985
La1 0.5000 0.5000 0.5000
Pm1 0.4094 0.4094 0.8441
Pm2 0.5906 0.5906 0.1559
Nd1 0.0000 0.0000 0.0000


No. 4
Crystalline HgPbSeF2 at its relaxed geometry, computed with PBE.

Computed properties:
For the uncorrected formation energy, the calculation gives -770 meV/atom.

a b c (Å): 4.3395 4.3395 7.4824
angles (deg): 90.00 90.00 90.00
Element x y z (fractional)
Hg1 0.0000 0.0000 0.0000
Pb1 0.0000 0.0000 0.5000
Se1 0.5000 0.5000 0.5000
F1 0.0000 0.5000 0.0000
F2 0.5000 0.0000 0.0000


No. 5
Crystalline BaZnBr at its relaxed geometry, computed with PBE.

Computed properties:
For the uncorrected formation energy, the calculation gives -1088 meV/atom.

a b c (Å): 12.3198 12.3198 12.3198
angles (deg): 21.84 21.84 21.84
Element x y z (fractional)
Ba1 0.0694 0.0694 0.0694
Ba2 0.9306 0.9306 0.9306
Zn1 0.3339 0.3339 0.3339
Zn2 0.6661 0.6661 0.6661
Br1 0.2150 0.2150 0.2150
Br2 0.7850 0.7850 0.7850


No. 6
Crystalline CeUP2Ru5 at its relaxed geometry, computed with PBE.

Computed properties:
For the formation energy, the calculation gives -0.421 eV per atom.

a b c (Å): 3.9830 3.9830 10.5610
angles (deg): 90.00 90.00 90.00
Element x y z (fractional)
Ce1 0.0000 0.0000 0.0000
U1 0.0000 0.0000 0.5000
P1 0.5000 0.5000 0.2165
P2 0.5000 0.5000 0.7835
Ru1 0.0000 0.5000 0.3257
Ru2 0.0000 0.5000 0.6743
Ru3 0.5000 0.0000 0.3257
Ru4 0.5000 0.0000 0.6743
Ru5 0.5000 0.5000 0.0000


No. 7
Crystalline Al2InOs at its relaxed geometry, computed with PBE.

Computed properties:
For the formation energy, the calculation gives -0.007 eV per atom.

a b c (Å): 8.9757 8.9757 8.9757
angles (deg): 19.40 19.40 19.40
Element x y z (fractional)
Al1 0.2375 0.2375 0.2375
Al2 0.7625 0.7625 0.7625
In1 0.0000 0.0000 0.0000
Os1 0.5000 0.5000 0.5000


No. 8
Crystalline Ca2TbScSe4 at its relaxed geometry, computed with PBE.

Computed properties:
For the uncorrected formation energy, the calculation gives -1824 meV/atom.

a b c (Å): 7.0278 4.0647 7.1675
angles (deg): 90.00 109.16 90.00
Element x y z (fractional)
Ca1 0.0000 0.0000 0.0000
Ca2 0.5000 0.5000 0.0000
Tb1 0.0000 0.5000 0.5000
Sc1 0.5000 0.0000 0.5000
Se1 0.2552 0.0000 0.7425
Se2 0.2617 0.5000 0.2631
Se3 0.7383 0.5000 0.7369
Se4 0.7448 0.0000 0.2575


Number 1: raw total energy -2.571 eV/atom. Number 2: raw total energy -4.338 eV/atom. Number 3: raw total energy -4.188 eV/atom. Number 4: raw total energy -3.017 eV/atom. Number 5: raw total energy -2.711 eV/atom. Number 6: raw total energy -8.690 eV/atom. Number 7: raw total energy -5.370 eV/atom. Number 8: raw total energy -5.437 eV/atom.